Entry 1:
This record from the Alexandria database describes crystalline Sr3Ca5Cl12 at its relaxed geometry. The functional is GGA-PBE.

Computed properties:
Raw total energy ... -3.83 eV per atom
Formation energy without anion corrections ... -1.96 eV/atom
Total magnetization ... 0.0 μB per cell

Lattice parameters (Å, degrees): 17.3881 17.3881 17.3881 90.00 90.00 90.00
Space group Ia-3d (No. 230)
Symmetry-distinct sites (fractional):
Sr 0.0000 0.2500 0.1250
Ca 0.0000 0.0000 0.0000
Ca 0.0000 0.2500 0.3750
Cl 0.0076 0.0474 0.6557

Entry 2:
This record from the Alexandria database describes crystalline YHfAl2 at its relaxed geometry. The functional is GGA-PBE.

Computed properties:
Raw total energy ... -6.23 eV per atom
Energy relative to the elements ... -252 meV per atom
Total magnetization ... 0.0 μB per cell

Lattice parameters (Å, degrees): 6.9476 6.9476 6.9476 90.00 90.00 90.00
Space group Fm-3m (No. 225)
Symmetry-distinct sites (fractional):
Y 0.0000 0.0000 0.0000
Hf 0.0000 0.0000 0.5000
Al 0.2500 0.2500 0.2500

Entry 3:
This record from the Alexandria database describes crystalline CaTeAs2 at its relaxed geometry. The functional is GGA-PBE.

Computed properties:
Raw total energy ... -4.19 eV per atom
Formation energy without anion corrections ... -0.58 eV/atom
Total magnetization ... 0.0 μB per cell

Lattice parameters (Å, degrees): 11.9905 4.0265 4.7484 90.00 102.54 90.00
Space group C2/m (No. 12)
Symmetry-distinct sites (fractional):
Ca 0.0000 0.0000 0.0000
Te 0.0000 0.5000 0.5000
As 0.2400 0.5000 0.8250

Entry 4:
This record from the Alexandria database describes crystalline RbPuInBr5 at its relaxed geometry. The functional is GGA-PBE.

Computed properties:
Raw total energy ... -4.65 eV per atom
Formation energy without anion corrections ... -1.35 eV/atom
Total magnetization ... 20.0 μB per cell

Lattice parameters (Å, degrees): 11.2503 13.5407 10.8073 90.00 115.88 90.00
Space group C2/c (No. 15)
Symmetry-distinct sites (fractional):
Rb 0.0000 0.0870 0.2500
Pu 0.2500 0.2500 0.0000
In 0.0000 0.4869 0.2500
Br 0.0000 0.2536 0.7500
Br 0.1068 0.3071 0.1494
Br 0.1954 0.0489 0.0454

Entry 5:
This record from the Alexandria database describes crystalline LiLa3Nd3S8 at its relaxed geometry. The functional is GGA-PBE.

Computed properties:
Raw total energy ... -6.29 eV per atom
Formation energy without anion corrections ... -2.02 eV/atom
Total magnetization ... 0.0 μB per cell

Lattice parameters (Å, degrees): 8.1409 8.1409 20.0437 90.00 90.00 120.00
Space group R-3m (No. 166, hexagonal axes)
Symmetry-distinct sites (fractional):
Li 0.0000 0.0000 0.0000
La 0.0000 0.5000 0.5000
Nd 0.0000 0.5000 0.0000
S 0.0000 0.0000 0.2519
S 0.0093 0.5046 0.7462

Entry 6:
This record from the Alexandria database describes crystalline PmHoEr2Tl4 at its relaxed geometry. The functional is GGA-PBE.

Computed properties:
Raw total energy ... -3.82 eV per atom
Energy relative to the elements ... -331 meV per atom
Total magnetization ... 0.0 μB per cell

Lattice parameters (Å, degrees): 5.3719 5.3719 26.4156 90.00 90.00 120.00
Space group R-3m (No. 166, hexagonal axes)
Symmetry-distinct sites (fractional):
Pm 0.0000 0.0000 0.0000
Ho 0.0000 0.0000 0.5000
Er 0.0000 0.0000 0.2495
Tl 0.0000 0.0000 0.1263
Tl 0.0000 0.0000 0.3764

Entry 7:
This record from the Alexandria database describes crystalline TbNd6Tm6 at its relaxed geometry. The functional is GGA-PBE.

Computed properties:
Raw total energy ... -4.36 eV per atom
Energy relative to the elements ... 259 meV per atom
Total magnetization ... 1.5 μB per cell

Lattice parameters (Å, degrees): 6.7180 6.7180 11.3999 90.00 90.00 120.00
Space group P6/mmm (No. 191)
Symmetry-distinct sites (fractional):
Tb 0.0000 0.0000 0.0000
Nd 0.0000 0.0000 0.3416
Nd 0.3333 0.6667 0.0000
Nd 0.3333 0.6667 0.5000
Tm 0.0000 0.5000 0.2454

Entry 8:
This record from the Alexandria database describes crystalline Ho4AsSe2S at its relaxed geometry. The functional is GGA-PBE.

Computed properties:
Raw total energy ... -6.03 eV per atom
Formation energy without anion corrections ... -1.77 eV/atom
Total magnetization ... 0.0 μB per cell

Lattice parameters (Å, degrees): 6.9344 4.0133 7.0441 90.00 109.20 90.00
Space group P2/m (No. 10)
Symmetry-distinct sites (fractional):
Ho 0.2374 0.0000 0.2287
Ho 0.2499 0.5000 0.7668
As 0.5000 0.0000 0.0000
Se 0.0000 0.0000 0.5000
Se 0.5000 0.5000 0.5000
S 0.0000 0.5000 0.0000